1.
Entry from the Alexandria database: a geometry-optimized Y2HPd6Pt structure (PBE).

Cell and atoms, written as extended XYZ:
```
10
Lattice="-2.3858 4.8422 -0.9181 -5.9850 -3.4669 -1.9731 -6.8278 0.2868 2.2385" Properties=species:S:1:pos:R:3 pbc="T T T"
Y -6.2963 3.2655 -0.2943
Y -8.9023 -1.6034 -0.3584
H 0.0000 0.0000 0.0000
Pd -6.2522 0.4082 0.2771
Pd -13.4080 1.4836 -0.1367
Pd -5.8421 -1.4270 -1.7711
Pd -9.3565 3.0890 1.1184
Pd -1.7906 0.1784 -0.5159
Pd -8.9464 1.2539 -0.9298
Pt -4.1854 0.6876 -1.4456
```

Properties
Space-group type: P-1 (2)
Electronic total energy (Ha/atom): -0.2193
Theoretical density (g cm⁻³): 9.86


2.
Entry from the Alexandria database: a geometry-optimized Y2HPdPt6 structure (PBE).

Cell and atoms, written as extended XYZ:
```
10
Lattice="-3.0468 3.8577 2.5504 1.3018 -3.1886 6.3785 2.9083 2.1089 6.2979" Properties=species:S:1:pos:R:3 pbc="T T T"
Y -0.8993 3.2628 6.0170
Y 2.0625 -0.4848 9.2098
H 0.0000 0.0000 0.0000
Pd -0.8725 0.3346 4.4644
Pt 1.2417 1.1503 5.7574
Pt -1.0594 0.4363 7.0650
Pt 0.4491 -1.4735 5.8032
Pt 0.7142 4.2516 9.4236
Pt 2.2227 2.3417 8.1618
Pt -0.0784 1.6277 9.4693
```

Properties
Space-group type: C2/m (12)
Electronic total energy (Ha/atom): -0.2370
Theoretical density (g cm⁻³): 13.99


3.
Entry from the Alexandria database: a geometry-optimized YH6PdPt2 structure (PBE).

Cell and atoms, written as extended XYZ:
```
10
Lattice="5.0621 -0.1120 0.3506 -2.6321 4.7273 -0.2501 -2.1896 -1.5756 4.2821" Properties=species:S:1:pos:R:3 pbc="T T T"
Y 2.4299 1.7521 1.6138
H -1.6780 3.5511 2.7606
H -0.4391 3.3468 0.2136
H 1.5538 4.0378 1.2077
H -0.2115 1.7166 1.6575
H 0.7097 1.0252 3.7976
H -1.8001 -0.3106 3.2872
Pd -3.8948 2.8234 3.8715
Pt -0.1071 3.5562 1.8746
Pt -0.0872 0.2125 2.5431
```

Properties
Space-group type: P1 (1)
Electronic total energy (Ha/atom): -0.1733
Theoretical density (g cm⁻³): 9.42


4.
Entry from the Alexandria database: a geometry-optimized YHPdPt2 structure (PBE).

Cell and atoms, written as extended XYZ:
```
5
Lattice="4.1440 0.0000 0.0000 0.0000 4.1440 0.0000 0.0000 0.0000 4.2402" Properties=species:S:1:pos:R:3 pbc="T T T"
Y 2.0720 2.0720 2.1201
H 0.0000 0.0000 0.0000
Pd 0.0000 0.0000 2.1201
Pt 0.0000 2.0720 0.0000
Pt 2.0720 0.0000 0.0000
```

Properties
E above lowest polymorph (meV/atom): 0
Space-group type: P4/mmm (123)
Electronic total energy (Ha/atom): -0.2264
Theoretical density (g cm⁻³): 13.37